1.
Entry from the Alexandria database: crystalline ZrIr at its relaxed geometry (PBE-GGA).

As for the formation energy: -0.81 eV/atom. The density of states at the Fermi level is 0.5079 states/eV/atom.

CIF file:
```
data_ZrIr
_chemical_formula_sum 'Zr8 Ir8'
_cell_length_a 5.230
_cell_length_b 5.377
_cell_length_c 10.673
_cell_angle_alpha 90.00
_cell_angle_beta 90.00
_cell_angle_gamma 90.00
_space_group_name_H-M_alt 'P 21 21 21'
_space_group_IT_number 19
_space_group_name_Hall 'P 2ac 2ab'
loop_
_atom_site_label
_atom_site_fract_x
_atom_site_fract_y
_atom_site_fract_z
Zr1 0.148 0.081 0.017
Zr2 0.151 0.620 0.804
Ir1 0.158 0.888 0.266
Ir2 0.165 0.579 0.057
```


2.
Entry from the Alexandria database: crystalline ZrIr at its relaxed geometry (PBE-GGA).

As for the formation energy: -0.56 eV/atom. The density of states at the Fermi level is 0.6436 states/eV/atom.

CIF file:
```
data_ZrIr
_chemical_formula_sum 'Zr8 Ir8'
_cell_length_a 8.452
_cell_length_b 8.452
_cell_length_c 4.306
_cell_angle_alpha 90.00
_cell_angle_beta 90.00
_cell_angle_gamma 90.00
_space_group_name_H-M_alt 'I 4/m m m'
_space_group_IT_number 139
_space_group_name_Hall '-I 4 2'
loop_
_atom_site_label
_atom_site_fract_x
_atom_site_fract_y
_atom_site_fract_z
Zr1 0.000 0.292 0.000
Ir1 0.164 0.164 0.500
```


3.
Entry from the Alexandria database: crystalline ZrIr at its relaxed geometry (PBE-GGA).

As for the formation energy: -0.50 eV/atom. The density of states at the Fermi level is 0.7060 states/eV/atom.

CIF file:
```
data_ZrIr
_chemical_formula_sum 'Zr4 Ir4'
_cell_length_a 5.427
_cell_length_b 5.427
_cell_length_c 5.413
_cell_angle_alpha 90.00
_cell_angle_beta 90.00
_cell_angle_gamma 90.00
_space_group_name_H-M_alt 'P 42/m n m'
_space_group_IT_number 136
_space_group_name_Hall '-P 4n 2n'
loop_
_atom_site_label
_atom_site_fract_x
_atom_site_fract_y
_atom_site_fract_z
Zr1 0.217 0.217 0.000
Ir1 0.214 0.214 0.500
```


4.
Entry from the Alexandria database: crystalline ZrIr2 at its relaxed geometry (PBE-GGA).

As for the formation energy: -0.50 eV/atom. The density of states at the Fermi level is 0.5932 states/eV/atom.

CIF file:
```
data_ZrIr2
_chemical_formula_sum 'Zr4 Ir8'
_cell_length_a 10.383
_cell_length_b 2.972
_cell_length_c 6.861
_cell_angle_alpha 90.00
_cell_angle_beta 107.42
_cell_angle_gamma 90.00
_space_group_name_H-M_alt 'C 1 2/m 1'
_space_group_IT_number 12
_space_group_name_Hall '-C 2y'
loop_
_atom_site_label
_atom_site_fract_x
_atom_site_fract_y
_atom_site_fract_z
Zr1 0.174 0.000 0.155
Ir1 0.047 0.500 0.805
Ir2 0.139 0.000 0.536
```


Please write out number 2 again, unchanged.
Entry from the Alexandria database: crystalline ZrIr at its relaxed geometry (PBE-GGA).

As for the formation energy: -0.56 eV/atom. The density of states at the Fermi level is 0.6436 states/eV/atom.

CIF file:
```
data_ZrIr
_chemical_formula_sum 'Zr8 Ir8'
_cell_length_a 8.452
_cell_length_b 8.452
_cell_length_c 4.306
_cell_angle_alpha 90.00
_cell_angle_beta 90.00
_cell_angle_gamma 90.00
_space_group_name_H-M_alt 'I 4/m m m'
_space_group_IT_number 139
_space_group_name_Hall '-I 4 2'
loop_
_atom_site_label
_atom_site_fract_x
_atom_site_fract_y
_atom_site_fract_z
Zr1 0.000 0.292 0.000
Ir1 0.164 0.164 0.500
```